Entry 1:
Compound: Sm4GaGeBr2
Source: Alexandria via LeMat-Bulk
Functional: PBE
Structure: relaxed

extended XYZ file:
```
8
Lattice="7.4444 0.0000 0.0000 0.0000 4.2707 0.0000 -2.4741 0.0000 7.0906" Properties=species:S:1:pos:R:3 pbc="T T T"
Sm 1.2428 0.0000 1.5471
Sm -0.0024 2.1354 5.5609
Sm 4.9727 2.1354 1.5298
Sm 3.7275 0.0000 5.5435
Ga 0.0000 2.1354 0.0000
Ge 3.7222 0.0000 0.0000
Br -1.2370 0.0000 3.5453
Br 2.4852 2.1354 3.5453
```

Computed properties:
* N(E_F): 3.113 states/eV/cell
* space-group type: P2/m
* uncorrected energy: -4.74 eV/atom
* V: 225.4 Å³/cell



Entry 2:
Compound: TlGa2GeBr8
Source: Alexandria via LeMat-Bulk
Functional: PBE
Structure: relaxed

extended XYZ file:
```
12
Lattice="7.8608 0.0000 0.0000 -3.9304 6.8077 0.0000 0.0000 0.0000 8.9064" Properties=species:S:1:pos:R:3 pbc="T T T"
Tl 0.0000 0.0000 0.0000
Ga 0.0000 4.5384 7.0350
Ga 3.9304 2.2692 1.8714
Ge 0.0000 0.0000 4.4532
Br -0.0248 2.2224 6.2023
Br -1.9934 5.7179 6.2023
Br 1.9123 1.1326 2.7041
Br 0.0000 4.5384 0.4801
Br 3.9304 2.2692 8.4263
Br 2.0181 5.6750 6.2023
Br 5.9238 1.0898 2.7041
Br 3.9552 4.5853 2.7041
```

Computed properties:
* N(E_F): 2.431 states/eV/cell
* space-group type: P-3
* uncorrected energy: -2.86 eV/atom
* V: 476.6 Å³/cell



Entry 3:
Compound: GaH3Br
Source: Alexandria via LeMat-Bulk
Functional: PBE
Structure: relaxed

extended XYZ file:
```
5
Lattice="4.0246 0.0000 0.0000 0.0000 4.0246 0.0000 0.0000 0.0000 4.0246" Properties=species:S:1:pos:R:3 pbc="T T T"
Ga 0.0000 0.0000 0.0000
H 0.0000 2.0123 2.0123
H 2.0123 0.0000 2.0123
H 2.0123 2.0123 0.0000
Br 2.0123 2.0123 2.0123
```

Computed properties:
* N(E_F): 2.106 states/eV/cell
* space-group type: Pm-3m
* uncorrected energy: -2.02 eV/atom
* V: 65.2 Å³/cell



Entry 4:
Compound: GaHBr2
Source: Alexandria via LeMat-Bulk
Functional: PBE
Structure: relaxed

extended XYZ file:
```
4
Lattice="0.0000 3.4650 3.4650 3.4650 0.0000 3.4650 3.4650 3.4650 0.0000" Properties=species:S:1:pos:R:3 pbc="T T T"
Ga 0.0000 0.0000 0.0000
H 3.4650 3.4650 3.4650
Br 1.7325 1.7325 1.7325
Br 5.1975 5.1975 5.1975
```

Computed properties:
* N(E_F): 0.974 states/eV/cell
* space-group type: Fm-3m
* uncorrected energy: -2.11 eV/atom
* V: 83.2 Å³/cell



Entry 5:
Compound: GaH2Br2
Source: Alexandria via LeMat-Bulk
Functional: PBE
Structure: relaxed

extended XYZ file:
```
5
Lattice="4.3737 -1.9700 0.0000 4.3737 1.9700 0.0000 -2.8548 0.0000 6.8575" Properties=species:S:1:pos:R:3 pbc="T T T"
Ga 0.0000 0.0000 0.0000
H 0.6970 0.0000 6.0570
H 5.1956 0.0000 0.8006
Br -0.4504 0.0000 4.9234
Br 6.3429 0.0000 1.9341
```

Computed properties:
* N(E_F): 0.725 states/eV/cell
* space-group type: C2/m
* uncorrected energy: -2.54 eV/atom
* V: 118.2 Å³/cell



Entry 6:
Compound: Ga2H6Br
Source: Alexandria via LeMat-Bulk
Functional: PBE
Structure: relaxed

extended XYZ file:
```
9
Lattice="0.0000 3.6047 3.6047 3.6047 0.0000 3.6047 3.6047 3.6047 0.0000" Properties=species:S:1:pos:R:3 pbc="T T T"
Ga 1.8023 1.8023 1.8023
Ga 5.4070 5.4070 5.4070
H 3.6047 3.6047 0.9529
H 3.6047 0.9529 3.6047
H 6.2565 3.6047 3.6047
H 0.9529 3.6047 3.6047
H 3.6047 6.2565 3.6047
H 3.6047 3.6047 6.2565
Br 3.6047 3.6047 3.6047
```

Computed properties:
* N(E_F): 2.268 states/eV/cell
* space-group type: Fm-3m
* uncorrected energy: -2.37 eV/atom
* V: 93.7 Å³/cell



Entry 7:
Compound: GaHBr3
Source: Alexandria via LeMat-Bulk
Functional: PBE
Structure: relaxed

extended XYZ file:
```
20
Lattice="9.4021 0.0000 0.0000 0.0000 7.4863 0.0000 -8.6531 0.0000 11.0757" Properties=species:S:1:pos:R:3 pbc="T T T"
Ga 0.6503 1.3984 0.7548
Ga -3.6763 2.3447 6.2927
Ga 4.4253 5.1416 4.7830
Ga 0.0987 6.0879 10.3209
H -0.7505 5.5464 5.7616
H 3.5761 5.6830 0.2237
H -2.8271 1.8033 10.8520
H 1.4995 1.9399 5.3142
Br -5.0859 0.9728 7.4702
Br -0.7594 2.7704 1.9323
Br -4.0336 4.6967 7.0444
Br 0.2930 6.5328 1.5065
Br 2.8949 1.8287 0.6086
Br -1.4316 1.9144 6.1465
Br 2.1806 5.5719 4.9293
Br -2.1459 5.6576 10.4672
Br 0.4560 0.9535 9.5692
Br 4.7826 2.7897 4.0313
Br 1.5084 4.7159 9.1434
Br 5.8349 6.5136 3.6056
```

Computed properties:
* N(E_F): 0.000 states/eV/cell
* space-group type: P2_1/c
* uncorrected energy: -2.48 eV/atom
* V: 779.6 Å³/cell



Entry 8:
Compound: GaHBr3
Source: Alexandria via LeMat-Bulk
Functional: PBE
Structure: relaxed

extended XYZ file:
```
5
Lattice="4.8351 0.0000 0.0000 0.0000 4.8351 0.0000 0.0000 0.0000 4.8351" Properties=species:S:1:pos:R:3 pbc="T T T"
Ga 0.0000 0.0000 0.0000
H 2.4176 2.4176 2.4176
Br 0.0000 2.4176 2.4176
Br 2.4176 0.0000 2.4176
Br 2.4176 2.4176 0.0000
```

Computed properties:
* N(E_F): 5.187 states/eV/cell
* space-group type: Pm-3m
* uncorrected energy: -1.98 eV/atom
* V: 113.0 Å³/cell



Entry 9:
Compound: GaHBr2
Source: Alexandria via LeMat-Bulk
Functional: PBE
Structure: relaxed

extended XYZ file:
```
4
Lattice="1.7929 1.0352 7.9888 -1.7929 1.0352 7.9888 0.0000 -2.0703 7.9888" Properties=species:S:1:pos:R:3 pbc="T T T"
Ga 0.0000 0.0000 0.0000
H 0.0000 0.0000 11.9832
Br 0.0000 0.0000 2.6449
Br 0.0000 0.0000 21.3214
```

Computed properties:
* N(E_F): 1.492 states/eV/cell
* space-group type: R-3m
* uncorrected energy: -1.98 eV/atom
* V: 89.0 Å³/cell



Entry 10:
Compound: GaHBr2
Source: Alexandria via LeMat-Bulk
Functional: PBE
Structure: relaxed

extended XYZ file:
```
4
Lattice="5.3767 -1.9158 0.0000 5.3767 1.9158 0.0000 -1.6970 0.0000 6.1153" Properties=species:S:1:pos:R:3 pbc="T T T"
Ga 0.0000 0.0000 0.0000
H 9.2156 0.0000 0.1001
Br 1.4566 0.0000 1.7829
Br 4.3906 0.0000 4.6339
```

Computed properties:
* N(E_F): 0.000 states/eV/cell
* space-group type: Cm
* uncorrected energy: -2.94 eV/atom
* V: 126.0 Å³/cell



Entry 11:
Compound: GaH2Br2
Source: Alexandria via LeMat-Bulk
Functional: PBE
Structure: relaxed

extended XYZ file:
```
5
Lattice="-1.8716 1.8716 6.0638 1.8716 -1.8716 6.0638 1.8716 1.8716 -6.0638" Properties=species:S:1:pos:R:3 pbc="T T T"
Ga 0.0000 0.0000 0.0000
H 1.8716 0.0000 3.0319
H 0.0000 1.8716 3.0319
Br 0.0000 0.0000 4.1597
Br 0.0000 0.0000 7.9680
```

Computed properties:
* N(E_F): 1.649 states/eV/cell
* space-group type: I4/mmm
* uncorrected energy: -2.19 eV/atom
* V: 85.0 Å³/cell



Entry 12:
Compound: GaHBr4
Source: Alexandria via LeMat-Bulk
Functional: PBE
Structure: relaxed

extended XYZ file:
```
12
Lattice="3.8913 0.0000 0.0000 0.0000 10.9472 0.0000 -1.3978 0.0000 10.1495" Properties=species:S:1:pos:R:3 pbc="T T T"
Ga -0.0945 2.7368 1.2507
Ga 2.5880 8.2104 8.8988
H -0.6203 8.2104 5.0971
H 3.1138 2.7368 5.0524
Br -0.0830 0.7498 2.3853
Br -0.0830 4.7238 2.3853
Br 0.5038 8.2104 4.1956
Br 0.4565 2.7368 9.7962
Br 2.0371 8.2104 0.3532
Br 1.9897 2.7368 5.9539
Br 2.5765 6.2234 7.7642
Br 2.5765 10.1974 7.7642
```

Computed properties:
* N(E_F): 0.000 states/eV/cell
* space-group type: P2_1/m
* uncorrected energy: -2.77 eV/atom
* V: 432.4 Å³/cell



- Which value of N(E_F) does entry 8 give?
  5.187 states/eV/cell